(1)
The following is a GGA-PBE calculation of an optimized crystal structure of Ba2HoAl3Ga12, from the Alexandria database.

Output
The calculation puts the formation energy from the elements at -0.13 eV per atom. The calculation puts the density at 5.37 g/cm3. The value obtained for the spin magnetization is 0.00 μB/cell. The calculation puts the raw total energy at -174.684 eV/cell. The density of states at the Fermi level is 0.43 states/eV per atom.

a = 6.8466 Å, b = 6.8466 Å, c = 31.0255 Å
α = 90.00°, β = 90.00°, γ = 120.00°
Space group R-3m (No. 166, hexagonal axes)
One atom of each set of equivalent atoms:
Ba 0.0000 0.0000 0.1449
Ho 0.0000 0.0000 0.5000
Al 0.0000 0.5000 0.0000
Ga 0.0484 0.5242 0.0913
Ga 0.0650 0.5325 0.6209


(2)
The following is a GGA-PBE calculation of an optimized crystal structure of LaAlCr2, from the Alexandria database.

Output
The calculation puts the formation energy from the elements at 0.38 eV per atom. The calculation puts the density at 5.76 g/cm3. The value obtained for the spin magnetization is 1.67 μB/cell. The calculation puts the raw total energy at -52.801 eV/cell. The density of states at the Fermi level is 0.82 states/eV per atom.

a = 3.151 Å, b = 4.893 Å, c = 10.094 Å
α = 90.00°, β = 90.00°, γ = 90.00°
Space group Imm2 (No. 44)
One atom of each set of equivalent atoms:
La 0.000 0.000 0.000
Al 0.000 0.500 0.789
Cr 0.000 0.000 0.520
Cr 0.000 0.500 0.216


(3)
The following is a GGA-PBE calculation of an optimized crystal structure of KCrBr3, from the Alexandria database.

Output
The calculation puts the density at 3.73 g/cm3. The value obtained for the spin magnetization is 4.00 μB/cell. The calculation puts the raw total energy at -21.057 eV/cell. The density of states at the Fermi level is 0.25 states/eV per atom.

a = 5.280 Å, b = 5.280 Å, c = 5.280 Å
α = 90.00°, β = 90.00°, γ = 90.00°
Space group Pm-3m (No. 221)
One atom of each set of equivalent atoms:
K 0.000 0.000 0.000
Cr 0.500 0.500 0.500
Br 0.000 0.500 0.500


(4)
The following is a GGA-PBE calculation of an optimized crystal structure of MnAl2Sb, from the Alexandria database.

Output
The calculation puts the density at 5.20 g/cm3. The value obtained for the spin magnetization is 6.44 μB/cell. The calculation puts the raw total energy at -39.910 eV/cell. The density of states at the Fermi level is 0.61 states/eV per atom.

a = 5.401 Å, b = 7.767 Å, c = 3.510 Å
α = 90.00°, β = 90.00°, γ = 90.00°
Space group Cmmm (No. 65)
One atom of each set of equivalent atoms:
Mn 0.000 0.000 0.000
Al 0.250 0.250 0.500
Sb 0.000 0.500 0.000


(5)
The following is a GGA-PBE calculation of an optimized crystal structure of MgAl2Pd, from the Alexandria database.

Output
The calculation puts the formation energy from the elements at -0.39 eV per atom. The calculation puts the density at 4.73 g/cm3. The value obtained for the spin magnetization is 0.00 μB/cell. The calculation puts the raw total energy at -15.850 eV/cell. The density of states at the Fermi level is 0.44 states/eV per atom.

a = 3.966 Å, b = 3.966 Å, c = 4.126 Å
α = 90.00°, β = 90.00°, γ = 90.00°
Space group P4/mmm (No. 123)
One atom of each set of equivalent atoms:
Mg 0.000 0.000 0.000
Al 0.000 0.500 0.500
Pd 0.500 0.500 0.000


(6)
The following is a GGA-PBE calculation of an optimized crystal structure of HRu2O, from the Alexandria database.

Output
The calculation puts the density at 8.66 g/cm3. The value obtained for the spin magnetization is 0.00 μB/cell. The calculation puts the raw total energy at -105.431 eV/cell. The density of states at the Fermi level is 0.87 states/eV per atom. The value obtained for the relative energy among the computed polymorphs is 0.000 eV/atom.

a = 4.471 Å, b = 4.471 Å, c = 8.406 Å
α = 90.00°, β = 90.00°, γ = 90.00°
Space group I-42d (No. 122)
One atom of each set of equivalent atoms:
H 0.000 0.000 0.000
Ru 0.208 0.250 0.125
O 0.000 0.000 0.500


(7)
The following is a GGA-PBE calculation of an optimized crystal structure of YMo2, from the Alexandria database.

Output
The calculation puts the formation energy from the elements at 0.65 eV per atom. The calculation puts the density at 7.62 g/cm3. The value obtained for the spin magnetization is 0.00 μB/cell. The calculation puts the raw total energy at -52.382 eV/cell. The density of states at the Fermi level is 1.66 states/eV per atom.

a = 5.2605 Å, b = 5.2605 Å, c = 5.1076 Å
α = 90.00°, β = 90.00°, γ = 120.00°
Space group P-62m (No. 189)
One atom of each set of equivalent atoms:
Y 0.3333 0.6667 0.0000
Mo 0.0000 0.0000 0.0000
Mo 0.0000 0.7270 0.5000


(8)
The following is a GGA-PBE calculation of an optimized crystal structure of PrReO4, from the Alexandria database.

Output
The calculation puts the density at 7.67 g/cm3. The value obtained for the spin magnetization is 0.81 μB/cell. The calculation puts the raw total energy at -204.045 eV/cell. The density of states at the Fermi level is 0.34 states/eV per atom.

a = 7.976 Å, b = 5.653 Å, c = 7.739 Å
α = 90.00°, β = 104.02°, γ = 90.00°
Space group P2_1/c (No. 14)
One atom of each set of equivalent atoms:
Pr 0.116 0.249 0.404
Re 0.337 0.750 0.209
O 0.139 0.510 0.160
O 0.139 0.510 0.659
O 0.328 0.748 0.957
O 0.500 0.000 0.249


Repeat the fourth record exactly.
The following is a GGA-PBE calculation of an optimized crystal structure of MnAl2Sb, from the Alexandria database.

Output
The calculation puts the density at 5.20 g/cm3. The value obtained for the spin magnetization is 6.44 μB/cell. The calculation puts the raw total energy at -39.910 eV/cell. The density of states at the Fermi level is 0.61 states/eV per atom.

a = 5.401 Å, b = 7.767 Å, c = 3.510 Å
α = 90.00°, β = 90.00°, γ = 90.00°
Space group Cmmm (No. 65)
One atom of each set of equivalent atoms:
Mn 0.000 0.000 0.000
Al 0.250 0.250 0.500
Sb 0.000 0.500 0.000


Question: What is the spin magnetization in the seventh record?
Answer: 0.00 μB/cell